# 1
Mg2NiBr | PBE | optimized geometry

For the mass density, the calculation gives 3735 kg/m3. The energy relative to the elements, uncorrected comes out at -0.230 eV per atom. The total energy is -2.89 eV/atom. The energy above the lowest structure with this stoichiometry is 0.126 eV per atom.

The structure belongs to space group C2/m (No. 12); the cell edges are 6.521, 3.608 and 7.391 Å and the angles 90.00°, 106.82° and 90.00°. The asymmetric unit holds Mg at (0.240, 0.000, 0.200), Ni at (0.000, 0.500, 0.000) and Br at (0.000, 0.000, 0.500).

=====

# 2
MgNiBr3 | PBE | optimized geometry

For the mass density, the calculation gives 3780 kg/m3. The energy relative to the elements, uncorrected comes out at -0.189 eV per atom. The total energy is -2.67 eV/atom. The energy above the lowest structure with this stoichiometry is 0.132 eV per atom.

The structure belongs to space group Pm-3m (No. 221); the cell edges are 5.214, 5.214 and 5.214 Å and the angles 90.00°, 90.00° and 90.00°. The asymmetric unit holds Mg at (0.000, 0.000, 0.000), Ni at (0.500, 0.500, 0.500) and Br at (0.000, 0.000, 0.500).

=====

# 3
Mg2NiBr2 | PBE | optimized geometry

For the mass density, the calculation gives 4158 kg/m3. The energy relative to the elements, uncorrected comes out at 0.054 eV per atom. The total energy is -2.41 eV/atom. The energy above the lowest structure with this stoichiometry is 0.132 eV per atom.

The structure belongs to space group P4/mbm (No. 127); the cell edges are 7.690, 7.690 and 3.607 Å and the angles 90.00°, 90.00° and 90.00°. The asymmetric unit holds Mg at (0.181, 0.319, 0.000), Ni at (0.000, 0.000, 0.500) and Br at (0.143, 0.643, 0.500).

=====

# 4
MgNiBr2 | PBE | optimized geometry

For the mass density, the calculation gives 5192 kg/m3. The energy relative to the elements, uncorrected comes out at -0.051 eV per atom. The total energy is -2.73 eV/atom. The energy above the lowest structure with this stoichiometry is 0.504 eV per atom.

The structure belongs to space group Fm-3m (No. 225); the cell edges are 6.773, 6.773 and 6.773 Å and the angles 90.00°, 90.00° and 90.00°. The asymmetric unit holds Mg at (0.000, 0.000, 0.000), Ni at (0.000, 0.000, 0.500) and Br at (0.250, 0.250, 0.250).

=====

# 5
MgNi2Br | PBE | optimized geometry

For the mass density, the calculation gives 5178 kg/m3. The energy relative to the elements, uncorrected comes out at 0.080 eV per atom. The total energy is -3.63 eV/atom. The energy above the lowest structure with this stoichiometry is 0.103 eV per atom.

The structure belongs to space group Pmmm (No. 47); the cell edges are 3.038, 3.684 and 6.349 Å and the angles 90.00°, 90.00° and 90.00°. The asymmetric unit holds Mg at (0.000, 0.000, 0.000), Ni at (0.500, 0.500, 0.190) and Br at (0.000, 0.500, 0.500).

=====

# 6
MgNiBr2 | PBE | optimized geometry

For the mass density, the calculation gives 3691 kg/m3. The energy relative to the elements, uncorrected comes out at -0.555 eV per atom. The total energy is -3.24 eV/atom. The energy above the lowest structure with this stoichiometry is 0.000 eV per atom.

The structure belongs to space group C2/m (No. 12); the cell edges are 14.057, 3.679 and 4.230 Å and the angles 90.00°, 92.82° and 90.00°. The asymmetric unit holds Mg at (0.000, 0.000, 0.000), Ni at (0.000, 0.500, 0.500) and Br at (0.131, 0.500, 0.213).

=====

# 7
MgNi2Br | PBE | optimized geometry

For the mass density, the calculation gives 5874 kg/m3. The energy relative to the elements, uncorrected comes out at 0.194 eV per atom. The total energy is -3.51 eV/atom. The energy above the lowest structure with this stoichiometry is 0.217 eV per atom.

The structure belongs to space group Pmmm (No. 47); the cell edges are 3.314, 3.340 and 5.659 Å and the angles 90.00°, 90.00° and 90.00°. The asymmetric unit holds Mg at (0.000, 0.000, 0.000), Ni at (0.500, 0.500, 0.221) and Br at (0.000, 0.000, 0.500).

=====

# 8
MgNi2Br | PBE | optimized geometry

For the mass density, the calculation gives 6096 kg/m3. The energy relative to the elements, uncorrected comes out at 0.304 eV per atom. The total energy is -3.40 eV/atom. The energy above the lowest structure with this stoichiometry is 0.327 eV per atom.

The structure belongs to space group I-4m2 (No. 119); the cell edges are 3.763, 3.763 and 8.528 Å and the angles 90.00°, 90.00° and 90.00°. The asymmetric unit holds Mg at (0.000, 0.000, 0.000), Ni at (0.000, 0.000, 0.500), Ni at (0.000, 0.500, 0.750) and Br at (0.000, 0.500, 0.250).

=====

# 9
MgNi2Br | PBE | optimized geometry

For the mass density, the calculation gives 6038 kg/m3. The energy relative to the elements, uncorrected comes out at 0.295 eV per atom. The total energy is -3.41 eV/atom. The energy above the lowest structure with this stoichiometry is 0.318 eV per atom.

The structure belongs to space group I4/mmm (No. 139); the cell edges are 3.815, 3.815 and 8.374 Å and the angles 90.00°, 90.00° and 90.00°. The asymmetric unit holds Mg at (0.000, 0.000, 0.000), Ni at (0.000, 0.500, 0.250) and Br at (0.000, 0.000, 0.500).

=====

# 10
Mg2NiBr | PBE | optimized geometry

For the mass density, the calculation gives 4077 kg/m3. The energy relative to the elements, uncorrected comes out at -0.309 eV per atom. The total energy is -2.97 eV/atom. The energy above the lowest structure with this stoichiometry is 0.046 eV per atom.

The structure belongs to space group Cmmm (No. 65); the cell edges are 4.601, 4.610 and 7.192 Å and the angles 90.00°, 90.00° and 90.00°. The asymmetric unit holds Mg at (0.000, 0.000, 0.200), Ni at (0.000, 0.500, 0.000) and Br at (0.000, 0.500, 0.500).

=====

# 11
MgNiBr2 | PBE | optimized geometry

For the mass density, the calculation gives 4222 kg/m3. The energy relative to the elements, uncorrected comes out at -0.311 eV per atom. The total energy is -2.99 eV/atom. The energy above the lowest structure with this stoichiometry is 0.244 eV per atom.

The structure belongs to space group I-42d (No. 122); the cell edges are 5.621, 5.621 and 12.087 Å and the angles 90.00°, 90.00° and 90.00°. The asymmetric unit holds Mg at (0.000, 0.000, 0.000), Ni at (0.000, 0.000, 0.500) and Br at (0.222, 0.250, 0.625).

=====

# 12
MgNi2Br | PBE | optimized geometry

For the mass density, the calculation gives 5723 kg/m3. The energy relative to the elements, uncorrected comes out at 0.317 eV per atom. The total energy is -3.39 eV/atom. The energy above the lowest structure with this stoichiometry is 0.339 eV per atom.

The structure belongs to space group R-3m (No. 166, hexagonal axes); the cell edges are 3.0831, 3.0831 and 23.4306 Å and the angles 90.00°, 90.00° and 120.00°. The asymmetric unit holds Mg at (0.0000, 0.0000, 0.0000), Ni at (0.0000, 0.0000, 0.2464) and Br at (0.0000, 0.0000, 0.5000).

=====

# 13
MgNi3Br | PBE | optimized geometry

For the mass density, the calculation gives 5472 kg/m3. The energy relative to the elements, uncorrected comes out at 0.638 eV per atom. The total energy is -3.48 eV/atom. The energy above the lowest structure with this stoichiometry is 0.000 eV per atom.

The structure belongs to space group Pm-3m (No. 221); the cell edges are 4.398, 4.398 and 4.398 Å and the angles 90.00°, 90.00° and 90.00°. The asymmetric unit holds Mg at (0.000, 0.000, 0.000), Ni at (0.000, 0.500, 0.500) and Br at (0.500, 0.500, 0.500).

=====

# 14
MgNi2Br | PBE | optimized geometry

For the mass density, the calculation gives 4464 kg/m3. The energy relative to the elements, uncorrected comes out at 0.128 eV per atom. The total energy is -3.58 eV/atom. The energy above the lowest structure with this stoichiometry is 0.151 eV per atom.

The structure belongs to space group C2/m (No. 12); the cell edges are 8.841, 3.316 and 5.834 Å and the angles 90.00°, 105.48° and 90.00°. The asymmetric unit holds Mg at (0.000, 0.000, 0.000), Ni at (0.190, 0.500, 0.864) and Br at (0.000, 0.500, 0.500).

=====

# 15
Mg2NiBr | PBE | optimized geometry

For the mass density, the calculation gives 3888 kg/m3. The energy relative to the elements, uncorrected comes out at -0.355 eV per atom. The total energy is -3.02 eV/atom. The energy above the lowest structure with this stoichiometry is 0.000 eV per atom.

The structure belongs to space group Cm (No. 8); the cell edges are 15.101, 3.293 and 3.292 Å and the angles 90.00°, 102.38° and 90.00°. The asymmetric unit holds Mg at (0.000, 0.000, 0.000), Mg at (0.192, 0.000, 0.188), Ni at (0.101, 0.500, 0.598) and Br at (0.381, 0.000, 0.378).

=====

# 16
MgNiBr2 | PBE | optimized geometry

For the mass density, the calculation gives 4676 kg/m3. The energy relative to the elements, uncorrected comes out at -0.102 eV per atom. The total energy is -2.78 eV/atom. The energy above the lowest structure with this stoichiometry is 0.453 eV per atom.

The structure belongs to space group Pmmm (No. 47); the cell edges are 3.630, 3.858 and 6.158 Å and the angles 90.00°, 90.00° and 90.00°. The asymmetric unit holds Mg at (0.000, 0.000, 0.000), Ni at (0.500, 0.000, 0.500), Br at (0.000, 0.500, 0.500) and Br at (0.500, 0.500, 0.000).

=====

# 17
MgNi2Br | PBE | optimized geometry

For the mass density, the calculation gives 4773 kg/m3. The energy relative to the elements, uncorrected comes out at -0.023 eV per atom. The total energy is -3.73 eV/atom. The energy above the lowest structure with this stoichiometry is 0.000 eV per atom.

The structure belongs to space group Cm (No. 8); the cell edges are 6.648, 3.825 and 6.064 Å and the angles 90.00°, 90.02° and 90.00°. The asymmetric unit holds Mg at (0.000, 0.000, 0.000), Ni at (0.165, 0.500, 0.688), Ni at (0.333, 0.000, 0.749) and Br at (0.167, 0.500, 0.290).

=====

# 18
MgNi2Br | PBE | optimized geometry

For the mass density, the calculation gives 6032 kg/m3. The energy relative to the elements, uncorrected comes out at 0.268 eV per atom. The total energy is -3.44 eV/atom. The energy above the lowest structure with this stoichiometry is 0.290 eV per atom.

The structure belongs to space group P2/m (No. 10); the cell edges are 4.390, 3.218 and 4.499 Å and the angles 90.00°, 106.32° and 90.00°. The asymmetric unit holds Mg at (0.000, 0.000, 0.000), Ni at (0.500, 0.000, 0.500), Ni at (0.500, 0.500, 0.000) and Br at (0.000, 0.500, 0.500).

=====

# 19
MgNiBr2 | PBE | optimized geometry

For the mass density, the calculation gives 4999 kg/m3. The energy relative to the elements, uncorrected comes out at -0.208 eV per atom. The total energy is -2.89 eV/atom. The energy above the lowest structure with this stoichiometry is 0.347 eV per atom.

The structure belongs to space group R-3m (No. 166, hexagonal axes); the cell edges are 4.0368, 4.0368 and 17.1461 Å and the angles 90.00°, 90.00° and 120.00°. The asymmetric unit holds Mg at (0.0000, 0.0000, 0.0000), Ni at (0.0000, 0.0000, 0.5000) and Br at (0.0000, 0.0000, 0.2430).

=====

# 20
Mg2NiBr | PBE | optimized geometry

For the mass density, the calculation gives 3501 kg/m3. The energy relative to the elements, uncorrected comes out at -0.249 eV per atom. The total energy is -2.91 eV/atom. The energy above the lowest structure with this stoichiometry is 0.106 eV per atom.

The structure belongs to space group Imm2 (No. 44); the cell edges are 3.342, 3.456 and 15.376 Å and the angles 90.00°, 90.00° and 90.00°. The asymmetric unit holds Mg at (0.000, 0.000, 0.000), Mg at (0.000, 0.500, 0.189), Ni at (0.000, 0.500, 0.630) and Br at (0.000, 0.000, 0.399).

=====

# 21
MgNiBr2 | PBE | optimized geometry

For the mass density, the calculation gives 5126 kg/m3. The energy relative to the elements, uncorrected comes out at 0.006 eV per atom. The total energy is -2.67 eV/atom. The energy above the lowest structure with this stoichiometry is 0.561 eV per atom.

The structure belongs to space group P4/mmm (No. 123); the cell edges are 4.782, 4.782 and 3.440 Å and the angles 90.00°, 90.00° and 90.00°. The asymmetric unit holds Mg at (0.000, 0.000, 0.000), Ni at (0.500, 0.500, 0.000) and Br at (0.000, 0.500, 0.500).

=====

# 22
Mg2NiBr6 | PBE | optimized geometry

For the mass density, the calculation gives 3681 kg/m3. The energy relative to the elements, uncorrected comes out at -1.093 eV per atom. The total energy is -3.20 eV/atom.

The structure belongs to space group C2/m (No. 12); the cell edges are 14.985, 3.803 and 10.142 Å and the angles 90.00°, 113.67° and 90.00°. The asymmetric unit holds Mg at (0.165, 0.000, 0.330), Ni at (0.000, 0.500, 0.000), Br at (0.029, 0.500, 0.268), Br at (0.125, 0.000, 0.048) and Br at (0.197, 0.000, 0.613).

=====

# 23
MgNiBr2 | PBE | optimized geometry

For the mass density, the calculation gives 3962 kg/m3. The energy relative to the elements, uncorrected comes out at -0.425 eV per atom. The total energy is -3.11 eV/atom. The energy above the lowest structure with this stoichiometry is 0.130 eV per atom.

The structure belongs to space group Cm (No. 8); the cell edges are 10.965, 3.609 and 5.144 Å and the angles 90.00°, 90.87° and 90.00°. The asymmetric unit holds Mg at (0.000, 0.000, 0.000), Ni at (0.381, 0.000, 0.275), Br at (0.020, 0.500, 0.611) and Br at (0.255, 0.500, 0.101).

=====

# 24
MgNi2Br | PBE | optimized geometry

For the mass density, the calculation gives 6088 kg/m3. The energy relative to the elements, uncorrected comes out at 0.387 eV per atom. The total energy is -3.32 eV/atom. The energy above the lowest structure with this stoichiometry is 0.409 eV per atom.

The structure belongs to space group Fm-3m (No. 225); the cell edges are 6.230, 6.230 and 6.230 Å and the angles 90.00°, 90.00° and 90.00°. The asymmetric unit holds Mg at (0.000, 0.000, 0.000), Ni at (0.250, 0.250, 0.250) and Br at (0.000, 0.000, 0.500).

=====

# 25
Mg2NiBr | PBE | optimized geometry

For the mass density, the calculation gives 4138 kg/m3. The energy relative to the elements, uncorrected comes out at -0.091 eV per atom. The total energy is -2.75 eV/atom. The energy above the lowest structure with this stoichiometry is 0.264 eV per atom.

The structure belongs to space group P4/mmm (No. 123); the cell edges are 4.856, 4.856 and 3.185 Å and the angles 90.00°, 90.00° and 90.00°. The asymmetric unit holds Mg at (0.000, 0.500, 0.000), Ni at (0.000, 0.000, 0.500) and Br at (0.500, 0.500, 0.500).